# 1
A geometry-optimized GdEr2Pb structure, computed with PBE.

Cell: 4.149 4.149 6.821 Å, 90.00 90.00 90.00°
Site moments in Bohr magnetons follow the coordinates.
Sites, in units of the cell vectors:
Pb  0.500  0.500  0.000  0.01
Er  0.000  0.000  0.235  -0.17
Er  0.000  0.000  0.765  -0.17
Gd  0.500  0.500  0.500  -7.22

Computed properties:
- Electronic total energy: -27.64 eV/cell
- Total magnetization: 7.967 μB/f.u.
- Space-group type: P4/mmm, No. 123
- Mass density: 9.88 g/cm3
- Formation energy: -0.182 eV/atom
- Crystal system: tetragonal

---

# 2
A geometry-optimized GdErPb2 structure, computed with PBE.

Cell: 4.056 4.056 6.919 Å, 90.00 90.00 90.00°
Site moments in Bohr magnetons follow the coordinates.
Sites, in units of the cell vectors:
Pb  0.000  0.000  0.243  0.00
Pb  0.000  0.000  0.757  0.00
Gd  0.500  0.500  0.500  -7.27
Er  0.500  0.500  0.000  -0.19

Computed properties:
- Electronic total energy: -27.76 eV/cell
- Total magnetization: 7.839 μB/f.u.
- Space-group type: P4/mmm, No. 123
- Mass density: 10.78 g/cm3
- Formation energy: -0.424 eV/atom
- Crystal system: tetragonal

---

# 3
A geometry-optimized GdErRhPb structure, computed with PBE.

Cell: 5.153 5.153 5.153 Å, 60.00 60.00 60.00°
Site moments in Bohr magnetons follow the coordinates.
Sites, in units of the cell vectors:
Gd  0.500  0.500  0.500  6.99
Pb  0.750  0.750  0.750  -0.01
Er  0.000  0.000  0.000  0.00
Rh  0.250  0.250  0.250  -0.01

Computed properties:
- Electronic total energy: -31.75 eV/cell
- Total magnetization: 7.084 μB/f.u.
- Space-group type: F-43m, No. 216
- Mass density: 10.89 g/cm3
- Formation energy: -0.512 eV/atom
- Crystal system: cubic

---

# 4
A geometry-optimized GdErRuPb structure, computed with PBE.

Cell: 5.122 5.122 5.122 Å, 60.00 60.00 60.00°
Site moments in Bohr magnetons follow the coordinates.
Sites, in units of the cell vectors:
Pb  0.250  0.250  0.250  0.02
Gd  0.500  0.500  0.500  -7.01
Er  0.000  0.000  0.000  0.00
Ru  0.750  0.750  0.750  0.12

Computed properties:
- Electronic total energy: -32.67 eV/cell
- Total magnetization: 6.980 μB/f.u.
- Space-group type: F-43m, No. 216
- Mass density: 11.06 g/cm3
- Formation energy: -0.262 eV/atom
- Crystal system: cubic